Density functional theory data (PBE-GGA) for an optimized crystal structure of ZnCuTePdO.

The structure in CIF format:
```
data_ZnCuTePdO
_space_group_name_H-M_alt 'C 1 m 1'
_space_group_IT_number 8
_space_group_name_Hall 'C -2y'
_cell_length_a 8.5863
_cell_length_b 3.3570
_cell_length_c 6.6338
_cell_angle_alpha 90.00
_cell_angle_beta 113.04
_cell_angle_gamma 90.00
loop_
_atom_site_label
_atom_site_type_symbol
_atom_site_fract_x
_atom_site_fract_y
_atom_site_fract_z
Zn1 Zn 0.0000 0.0000 0.0000
Cu1 Cu 0.1828 0.5000 0.7756
Te1 Te 0.4978 0.5000 0.4322
Pd1 Pd 0.3414 0.0000 0.6143
O1 O 0.1181 0.5000 0.0216
```

Values from the calculation:
For the formation energy (no corrections), the calculation gives -414 meV/atom. For the total moment, the calculation gives 0.0 μB/f.u. For the total DFT energy (no corrections), the calculation gives -41.5 eV per cell. The value obtained for the energy above the most stable polymorph in this dataset is 12.7 meV/atom.